No. 1
# FePBrCl2 | the Alexandria database | SCAN | PBEsol geometry
data_FePBrCl2
_space_group_name_H-M_alt 'P 1'
_space_group_IT_number 1
_cell_length_a 5.037
_cell_length_b 5.037
_cell_length_c 4.923
_cell_angle_alpha 90.00
_cell_angle_beta 90.00
_cell_angle_gamma 90.00
loop_
_space_group_symop_operation_xyz
'x,y,z'
loop_
_atom_site_label
_atom_site_type_symbol
_atom_site_fract_x
_atom_site_fract_y
_atom_site_fract_z
P1 P 0.000 0.000 0.500
Fe1 Fe 0.500 0.500 0.500
Br1 Br 0.000 0.000 0.000
Cl1 Cl 0.000 0.500 0.000
Cl2 Cl 0.500 0.000 0.000
# symmetry: No. 123
# mass density: 3.16 Mg/m³
# N(E_F): 0.74 states/eV per atom
# crystal system: tetragonal
# formation energy from raw total energies: 5.6 eV/f.u.



No. 2
# CdFe3Tc | the Alexandria database | SCAN | PBEsol geometry
data_CdFe3Tc
_space_group_name_H-M_alt 'P 1'
_space_group_IT_number 1
_cell_length_a 4.371
_cell_length_b 4.371
_cell_length_c 4.371
_cell_angle_alpha 90.00
_cell_angle_beta 90.00
_cell_angle_gamma 90.00
loop_
_space_group_symop_operation_xyz
'x,y,z'
loop_
_atom_site_label
_atom_site_type_symbol
_atom_site_fract_x
_atom_site_fract_y
_atom_site_fract_z
Fe1 Fe 0.000 0.500 0.000
Fe2 Fe 0.000 0.000 0.500
Fe3 Fe 0.500 0.000 0.000
Tc1 Tc 0.000 0.000 0.000
Cd1 Cd 0.500 0.500 0.500
# symmetry: No. 221
# mass density: 7.51 Mg/m³
# N(E_F): 0.85 states/eV per atom
# total energy: -112.89 eV/cell
# crystal system: cubic



No. 3
# Co2BSb | the Alexandria database | SCAN | PBEsol geometry
data_Co2BSb
_space_group_name_H-M_alt 'P 1'
_space_group_IT_number 1
_cell_length_a 4.359
_cell_length_b 4.359
_cell_length_c 6.696
_cell_angle_alpha 108.99
_cell_angle_beta 108.99
_cell_angle_gamma 90.00
loop_
_space_group_symop_operation_xyz
'x,y,z'
loop_
_atom_site_label
_atom_site_type_symbol
_atom_site_fract_x
_atom_site_fract_y
_atom_site_fract_z
Sb1 Sb 0.250 0.750 0.500
Sb2 Sb 0.000 0.000 0.000
B1 B 0.750 0.250 0.500
B2 B 0.500 0.500 0.000
Co1 Co 0.518 0.875 0.250
Co2 Co 0.732 0.375 0.250
Co3 Co 0.125 0.268 0.750
Co4 Co 0.625 0.482 0.750
# symmetry: No. 122
# mass density: 7.36 Mg/m³
# N(E_F): 0.67 states/eV per atom
# crystal system: tetragonal
# formation energy from raw total energies: 2.0 eV/f.u.



What is the mass density in the third record? 7.36 Mg/m³



Look up the mass density of the first one. 3.16 Mg/m³



N(E_F) of number 1 (FePBrCl2)? 0.74 states/eV per atom



What is the formula in the second record? CdFe3Tc